FeTeIO2: relaxed, PBE with a Hubbard U.

Cell: 4.1105 4.1105 7.3272 Å, 90.00 90.00 90.00°
Closest atoms and distances in Å follow each position.
Space group P4/mmm (No. 123)
One atom of each set of equivalent atoms:
1 Fe 0.0000 0.0000 0.0000 [1 per cell]  4 I 2.91
2 Te 0.5000 0.5000 0.5000 [1 per cell]  4 O 2.06
3 I 0.5000 0.5000 0.0000 [1 per cell]  4 Fe 2.91
4 O 0.0000 0.5000 0.5000 [2 per cell]  2 Te 2.06

Calculated values
Polymorph energy (0 for the lowest one) in meV/atom: 0
V in A^3/atom: 24.8
Fermi-level density of states in states/eV per cell: 3.1
M_tot in μB/cell: 3.96